(1)
19
Lattice="4.767 2.752 4.776 -4.767 2.752 4.776 0.000 -5.504 4.776" Properties=species:S:1:pos:R:3 comment="PBE Cd2Ag15Au2, optimized geometry" magnetic_moment_mub_per_fu=0.0 dos_ef_per_ev_cell=5.75 delta_e_f_mev_per_atom=114.9 final_energy_ev_per_atom=-2.577 pbc="T T T"
Cd 0.000 0.000 2.657
Cd 0.000 0.000 11.670
Ag -2.383 -1.376 4.776
Ag 0.000 -2.776 4.599
Ag -2.405 1.388 4.599
Ag -1.481 -2.565 7.164
Ag -2.961 0.000 7.164
Ag -2.405 -1.388 9.728
Ag -2.383 1.376 9.551
Ag 1.481 -2.565 7.164
Ag 0.000 2.752 4.776
Ag -1.481 2.565 7.164
Ag 2.405 1.388 4.599
Ag 2.961 0.000 7.164
Ag 1.481 2.565 7.164
Ag 2.405 -1.388 9.728
Ag 0.000 2.776 9.728
Au 0.000 0.000 5.758
Au 0.000 0.000 8.569


(2)
14
Lattice="-4.126 4.126 4.005 4.126 -4.126 4.005 4.126 4.126 -4.005" Properties=species:S:1:pos:R:3 comment="PBE CdAg5Au8, optimized geometry" magnetic_moment_mub_per_fu=0.0 dos_ef_per_ev_cell=4.55 delta_e_f_mev_per_atom=68.4 final_energy_ev_per_atom=-2.888 pbc="T T T"
Cd 0.000 0.000 0.000
Ag 4.993 1.560 -1.261
Ag 4.126 0.000 2.003
Ag 1.560 3.259 1.261
Ag -0.867 2.566 2.744
Ag 2.566 0.867 5.266
Au 2.563 1.022 0.033
Au 2.794 3.602 -1.354
Au 3.104 -1.564 3.972
Au 1.333 0.524 2.651
Au 4.651 2.794 1.354
Au 1.022 5.690 -0.033
Au -0.524 1.333 5.359
Au 1.564 3.104 4.038


(3)
18
Lattice="7.419 0.000 0.000 0.000 5.842 0.000 -1.924 0.000 7.893" Properties=species:S:1:pos:R:3 comment="PBE Cd3Ag5Au, optimized geometry" magnetic_moment_mub_per_fu=0.0 dos_ef_per_ev_cell=4.20 delta_e_f_mev_per_atom=-43.3 final_energy_ev_per_atom=-2.297 pbc="T T T"
Cd 0.006 0.000 0.006
Cd -1.200 4.373 5.281
Cd 2.301 4.370 1.791
Cd 3.194 1.449 6.102
Cd 6.695 1.452 2.612
Cd 5.490 2.921 7.887
Ag -1.232 1.453 5.404
Ag 1.306 2.912 4.186
Ag 1.306 5.835 4.183
Ag 0.742 2.908 6.983
Ag 0.746 5.830 6.979
Ag 4.749 2.909 0.913
Ag 4.753 5.829 0.910
Ag 4.189 2.913 3.710
Ag 4.190 5.833 3.707
Ag 6.727 4.374 2.489
Au 2.282 1.449 1.750
Au 3.213 4.370 6.143